Material: Al2ZnAs
Method: DFT, PBE-GGA
State: relaxed

As for the magnetization: 0.000 μB/atom. The energy above the lowest structure with this stoichiometry is 0.105 eV per atom. As for the formation energy: 0.1115 eV per atom. As for the final energy: -3.241 eV per atom. For the density of states at the Fermi level, the calculation gives 1.6 states/eV/f.u.

The structure belongs to space group R-3m (No. 166, hexagonal axes); the cell edges are 2.9336, 2.9336 and 27.4725 Å and the angles 90.00°, 90.00° and 120.00°. The inequivalent atoms are Al at (0.0000, 0.0000, 0.2469), Zn at (0.0000, 0.0000, 0.5000) and As at (0.0000, 0.0000, 0.0000).